Here is a relaxed structure of AsC3 from Alexandria. Energies are from PBE.

The space group is Pmmn (No. 59, origin choice 2) and the conventional cell measures 4.178, 5.065 and 6.037 Å, with angles of 90.00, 90.00 and 90.00 degrees. Symmetry generates all atoms from As at (0.250, 0.250, 0.122), C at (0.250, 0.620, 0.242) and C at (0.250, 0.750, 0.010).

For the polymorph energy (0 for the lowest one), the calculation gives 1003.5 meV/atom. The value obtained for the formation energy is 1.766 eV/atom.

=====

Here is a relaxed structure of H4Au from Alexandria. Energies are from PBE.

The space group is Pm-3m (No. 221) and the conventional cell measures 3.546, 3.546 and 3.546 Å, with angles of 90.00, 90.00 and 90.00 degrees. Symmetry generates all atoms from H at (0.000, 0.000, 0.000), H at (0.000, 0.500, 0.500) and Au at (0.500, 0.500, 0.500).

For the energy, the calculation gives -13.28 eV/cell.

=====

Number 1: volume 127.7 Å³/cell. Number 2: volume 44.6 Å³/cell.